Density functional theory data (PBE) for an optimized crystal structure of LaTaCl2.

Values from the calculation:
As for the distance to the lowest polymorph of the same formula: 606 meV/atom. As for the crystal system: tetragonal. The calculation puts the total magnetization at 1.11 μB/f.u. The formation energy from raw total energies comes out at -150.3 meV/atom.

a = 4.7823 Å, b = 4.7823 Å, c = 3.6099 Å
α = 90.00°, β = 90.00°, γ = 90.00°
Last column: nearest neighbours and their distance in Å.
Positions (direct):
Cl 0.0000 0.0000 0.0000  4 La 3.00, 4 Ta 3.00
Cl 0.5000 0.5000 0.0000  4 Ta 3.00, 4 La 3.00
La 0.5000 0.0000 0.5000  8 Cl 3.00
Ta 0.0000 0.5000 0.5000  8 Cl 3.00

Density functional theory data (PBE) for an optimized crystal structure of La2TaCl.

Values from the calculation:
As for the distance to the lowest polymorph of the same formula: 571 meV/atom. As for the crystal system: orthorhombic. The calculation puts the total magnetization at 3.26 μB/f.u. The formation energy from raw total energies comes out at 171.6 meV/atom.

a = 5.8586 Å, b = 5.8586 Å, c = 5.8586 Å
α = 138.77°, β = 112.66°, γ = 82.11°
Last column: nearest neighbours and their distance in Å.
Positions (direct):
Cl 0.2500 0.7500 0.5000  4 La 2.92
La 0.0154 0.0154 0.0000  2 Cl 2.92, 2 Ta 3.12
La 0.4846 0.4846 0.0000  2 Cl 2.92, 2 Ta 3.12
Ta 0.7500 0.2500 0.5000  4 La 3.12

Density functional theory data (PBE) for an optimized crystal structure of LaTaTiCl2.

Values from the calculation:
As for the distance to the lowest polymorph of the same formula: 215 meV/atom. As for the crystal system: tetragonal. The calculation puts the total magnetization at 6.54 μB/f.u. The formation energy from raw total energies comes out at 720.3 meV/atom.

a = 5.2279 Å, b = 6.9317 Å, c = 5.2279 Å
α = 90.00°, β = 90.00°, γ = 90.00°
Last column: nearest neighbours and their distance in Å.
Positions (direct):
Cl 0.0000 0.0000 0.5000  2 La 2.61
Cl 0.5000 0.0000 0.0000  2 La 2.61
La 0.0000 0.0000 0.0000  4 Cl 2.61
Ti 0.0000 0.5000 0.0000  2 La 3.47, 4 Ta 3.70
Ta 0.5000 0.5000 0.5000  4 Ti 3.70

Density functional theory data (PBE) for an optimized crystal structure of LaTaTiCl2.

Values from the calculation:
As for the distance to the lowest polymorph of the same formula: 0 meV/atom. As for the crystal system: tetragonal. The calculation puts the total magnetization at 0.00 μB/f.u. The formation energy from raw total energies comes out at 505.1 meV/atom.

a = 4.5766 Å, b = 6.9073 Å, c = 4.5766 Å
α = 90.00°, β = 90.00°, γ = 90.00°
Last column: nearest neighbours and their distance in Å.
Positions (direct):
Cl 0.0000 0.0000 0.5000  2 Ti 2.29
Cl 0.5000 0.0000 0.0000  2 Ti 2.29
La 0.0000 0.5000 0.0000  4 Ta 3.24, 2 Ti 3.45
Ti 0.0000 0.0000 0.0000  4 Cl 2.29
Ta 0.5000 0.5000 0.5000  4 La 3.24

Density functional theory data (PBE) for an optimized crystal structure of LaTbCl4.

Values from the calculation:
As for the crystal system: monoclinic. The calculation puts the total magnetization at 0.00 μB/f.u. The formation energy from raw total energies comes out at -1844.4 meV/atom.

a = 6.2899 Å, b = 7.7148 Å, c = 6.8008 Å
α = 90.00°, β = 103.66°, γ = 90.00°
Last column: nearest neighbours and their distance in Å.
Positions (direct):
La 0.5000 0.0000 0.5000  6 Cl 2.83-2.99
La 0.0000 0.5000 0.5000  6 Cl 2.83-2.99
Tb 0.0000 0.0000 0.0000  6 Cl 2.74-2.91
Tb 0.5000 0.5000 0.0000  6 Cl 2.74-2.91
Cl 0.8892 0.6825 0.1282  2 Tb 2.74-2.78, 1 La 2.83
Cl 0.6108 0.1825 0.8718  2 Tb 2.74-2.78, 1 La 2.83
Cl 0.3621 0.3547 0.3448  1 Tb 2.91, 2 La 2.95-2.99, 1 Cl 3.24
Cl 0.1379 0.8547 0.6552  1 Tb 2.91, 2 La 2.95-2.99, 1 Cl 3.24
Cl 0.1108 0.3175 0.8718  2 Tb 2.74-2.78, 1 La 2.83
Cl 0.3892 0.8175 0.1282  2 Tb 2.74-2.78, 1 La 2.83
Cl 0.6379 0.6453 0.6552  1 Tb 2.91, 2 La 2.95-2.99, 1 Cl 3.24
Cl 0.8621 0.1453 0.3448  1 Tb 2.91, 2 La 2.95-2.99, 1 Cl 3.24

Density functional theory data (PBE) for an optimized crystal structure of LaTb3Cl.

Values from the calculation:
As for the crystal system: cubic. The calculation puts the total magnetization at 0.00 μB/f.u. The formation energy from raw total energies comes out at -469.0 meV/atom.

a = 5.3655 Å, b = 5.3655 Å, c = 5.3655 Å
α = 90.00°, β = 90.00°, γ = 90.00°
Last column: nearest neighbours and their distance in Å.
Positions (direct):
Cl 0.0000 0.0000 0.0000  6 Tb 2.68
Tb 0.0000 0.5000 0.0000  2 Cl 2.68
Tb 0.0000 0.0000 0.5000  2 Cl 2.68
Tb 0.5000 0.0000 0.0000  2 Cl 2.68
La 0.5000 0.5000 0.5000  12 Tb 3.79

Density functional theory data (PBE) for an optimized crystal structure of LaTbCl6.

Values from the calculation:
As for the crystal system: trigonal. The calculation puts the total magnetization at 0.00 μB/f.u. The formation energy from raw total energies comes out at -2302.0 meV/atom.

a = 6.8988 Å, b = 6.8979 Å, c = 7.4846 Å
α = 62.55°, β = 62.54°, γ = 59.98°
Last column: nearest neighbours and their distance in Å.
Positions (direct):
La 0.5000 0.5000 0.5000  6 Cl 2.81
Tb 0.0000 0.0000 0.0000  6 Cl 2.67
Cl 0.0959 0.3895 0.7563  1 Tb 2.67, 1 La 2.81
Cl 0.7581 0.0960 0.7565  1 Tb 2.67, 1 La 2.81
Cl 0.6106 0.2418 0.2436  1 Tb 2.67, 1 La 2.81
Cl 0.2419 0.9040 0.2435  1 Tb 2.67, 1 La 2.81
Cl 0.9041 0.6105 0.2437  1 Tb 2.67, 1 La 2.81
Cl 0.3894 0.7582 0.7564  1 Tb 2.67, 1 La 2.81

Density functional theory data (PBE) for an optimized crystal structure of LaTb2Cl.

Values from the calculation:
As for the crystal system: trigonal. The calculation puts the total magnetization at 0.00 μB/f.u. The formation energy from raw total energies comes out at -438.9 meV/atom.

a = 3.4545 Å, b = 3.4545 Å, c = 11.4663 Å
α = 81.34°, β = 81.34°, γ = 60.00°
Last column: nearest neighbours and their distance in Å.
Positions (direct):
Cl 0.5000 0.5000 0.5000  6 Tb 2.98
Tb 0.1012 0.1012 0.6963  3 Cl 2.98
Tb 0.8988 0.8988 0.3037  3 Cl 2.98
La 0.0000 0.0000 0.0000  2 Tb 3.43, 6 La 3.45

Density functional theory data (PBE) for an optimized crystal structure of LaTbCl.

Values from the calculation:
As for the crystal system: trigonal. The calculation puts the total magnetization at 0.53 μB/f.u. The formation energy from raw total energies comes out at -907.5 meV/atom.

a = 7.4179 Å, b = 3.7315 Å, c = 3.7315 Å
α = 120.00°, β = 90.00°, γ = 90.00°
Last column: nearest neighbours and their distance in Å.
Positions (direct):
Cl 0.0193 0.0000 0.0000  3 Tb 2.98, 3 La 3.30
Tb 0.2977 0.3333 0.6667  3 Cl 2.98
La 0.6830 0.6667 0.3333  3 Cl 3.30, 3 Tb 3.58

Density functional theory data (PBE) for an optimized crystal structure of La2TbCl.

Values from the calculation:
As for the crystal system: trigonal. The calculation puts the total magnetization at 0.00 μB/f.u. The formation energy from raw total energies comes out at -529.8 meV/atom.

a = 3.5465 Å, b = 3.5465 Å, c = 11.5321 Å
α = 81.15°, β = 81.15°, γ = 60.00°
Last column: nearest neighbours and their distance in Å.
Positions (direct):
Cl 0.5000 0.5000 0.5000  6 La 3.10
Tb 0.0000 0.0000 0.0000  2 La 3.35, 6 Tb 3.55
La 0.0984 0.0984 0.7047  3 Cl 3.10, 1 Tb 3.35
La 0.9016 0.9016 0.2953  3 Cl 3.10, 1 Tb 3.35

Density functional theory data (PBE) for an optimized crystal structure of LaTbCl6.

Values from the calculation:
As for the crystal system: monoclinic. The calculation puts the total magnetization at 0.00 μB/f.u. The formation energy from raw total energies comes out at -2301.3 meV/atom.

a = 7.1384 Å, b = 7.1384 Å, c = 6.8598 Å
α = 97.24°, β = 97.24°, γ = 122.51°
Last column: nearest neighbours and their distance in Å.
Positions (direct):
La 0.0000 0.0000 0.0000  6 Cl 2.79-2.81
Tb 0.5000 0.5000 0.5000  6 Cl 2.66-2.67
Cl 0.5946 0.8795 0.7407  1 Tb 2.67, 1 La 2.81
Cl 0.8795 0.5946 0.7407  1 Tb 2.67, 1 La 2.81
Cl 0.1205 0.4054 0.2593  1 Tb 2.67, 1 La 2.81
Cl 0.4054 0.1205 0.2593  1 Tb 2.67, 1 La 2.81
Cl 0.2527 0.2527 0.7412  1 Tb 2.66, 1 La 2.79
Cl 0.7473 0.7473 0.2588  1 Tb 2.66, 1 La 2.79

Density functional theory data (PBE) for an optimized crystal structure of LaTc2Cl.

Values from the calculation:
As for the distance to the lowest polymorph of the same formula: 0 meV/atom. As for the crystal system: tetragonal. The calculation puts the total magnetization at 0.00 μB/f.u. The formation energy from raw total energies comes out at -200.3 meV/atom.

a = 3.2226 Å, b = 3.2226 Å, c = 8.4319 Å
α = 90.00°, β = 90.00°, γ = 90.00°
Last column: nearest neighbours and their distance in Å.
Positions (direct):
Cl 0.0000 0.0000 0.5343  4 La 2.98, 4 Cl 3.22
La 0.5000 0.5000 0.7614  4 Cl 2.98, 4 La 3.22, 4 Tc 3.23
Tc 0.0000 0.0000 0.0336  4 Tc 2.55
Tc 0.5000 0.5000 0.1707  4 Tc 2.55

Density functional theory data (PBE) for an optimized crystal structure of LaTc2Cl.

Values from the calculation:
As for the distance to the lowest polymorph of the same formula: 32 meV/atom. As for the crystal system: monoclinic. The calculation puts the total magnetization at 0.00 μB/f.u. The formation energy from raw total energies comes out at -168.5 meV/atom.

a = 3.4572 Å, b = 3.4585 Å, c = 8.7136 Å
α = 73.79°, β = 90.00°, γ = 90.00°
Last column: nearest neighbours and their distance in Å.
Positions (direct):
Cl 0.0000 0.3434 0.5653  4 La 2.97
La 0.5000 0.7020 0.7660  1 Tc 2.90, 4 Cl 2.97
Tc 0.0000 0.9973 0.0561  4 Tc 2.49
Tc 0.5000 0.4573 0.1126  4 Tc 2.49

Density functional theory data (PBE) for an optimized crystal structure of LaTc2Cl.

Values from the calculation:
As for the distance to the lowest polymorph of the same formula: 652 meV/atom. As for the crystal system: tetragonal. The calculation puts the total magnetization at 0.00 μB/f.u. The formation energy from raw total energies comes out at 451.8 meV/atom.

a = 4.1040 Å, b = 4.1040 Å, c = 5.9666 Å
α = 90.00°, β = 90.00°, γ = 90.00°
Last column: nearest neighbours and their distance in Å.
Positions (direct):
Cl 0.5000 0.5000 0.2500  2 La 2.98
La 0.5000 0.5000 0.7500  2 Cl 2.98, 8 Tc 3.09
Tc 0.0000 0.0000 0.9284  1 Tc 2.13
Tc 0.0000 0.0000 0.5716  1 Tc 2.13

Density functional theory data (PBE) for an optimized crystal structure of LaTc2Cl.

Values from the calculation:
As for the distance to the lowest polymorph of the same formula: 289 meV/atom. As for the crystal system: orthorhombic. The calculation puts the total magnetization at 0.00 μB/f.u. The formation energy from raw total energies comes out at 89.0 meV/atom.

a = 6.4589 Å, b = 6.4589 Å, c = 6.4589 Å
α = 146.30°, β = 146.07°, γ = 48.57°
Last column: nearest neighbours and their distance in Å.
Positions (direct):
Cl 0.7500 0.2500 0.5000  4 La 2.66
La 0.2500 0.7500 0.5000  4 Cl 2.66
Tc 0.0000 0.0000 0.0000  4 Tc 2.66
Tc 0.5000 0.5000 0.0000  4 Tc 2.66

Density functional theory data (PBE) for an optimized crystal structure of LaTc2Cl.

Values from the calculation:
As for the distance to the lowest polymorph of the same formula: 3 meV/atom. As for the crystal system: trigonal. The calculation puts the total magnetization at 0.00 μB/f.u. The formation energy from raw total energies comes out at -197.7 meV/atom.

a = 7.8955 Å, b = 7.8955 Å, c = 7.8955 Å
α = 29.90°, β = 29.90°, γ = 29.90°
Last column: nearest neighbours and their distance in Å.
Positions (direct):
Cl 0.4842 0.4842 0.4842  3 La 2.96
La 0.7377 0.7377 0.7377  3 Cl 2.96, 3 Tc 3.08
Tc 0.9829 0.9829 0.9829  3 Tc 2.40
Tc 0.2952 0.2952 0.2952  3 Tc 2.40

Density functional theory data (PBE) for an optimized crystal structure of La4TcCl5.

Values from the calculation:
As for the crystal system: monoclinic. The calculation puts the total magnetization at 0.00 μB/f.u. The formation energy from raw total energies comes out at -1645.5 meV/atom.

a = 4.2479 Å, b = 8.9580 Å, c = 10.9191 Å
α = 124.22°, β = 101.22°, γ = 90.00°
Last column: nearest neighbours and their distance in Å.
Positions (direct):
La 0.6492 0.2022 0.2983  1 Tc 2.62
La 0.0015 0.7676 0.0030  4 Cl 2.92-3.19, 2 Tc 2.99
La 0.3508 0.7978 0.7017  1 Tc 2.62
La 0.9985 0.2324 0.9970  4 Cl 2.92-3.19, 2 Tc 2.99
Tc 0.5000 0.0000 0.0000  2 La 2.62
Cl 0.1679 0.0046 0.3357  3 La 2.92-2.94
Cl 0.1688 0.4632 0.3377  4 La 2.99-3.28
Cl 0.8312 0.5368 0.6623  4 La 2.99-3.28
Cl 0.5000 0.5000 0.0000  4 La 3.19
Cl 0.8321 0.9954 0.6643  3 La 2.92-2.94

Density functional theory data (PBE) for an optimized crystal structure of LaTc4Cl.

Values from the calculation:
As for the crystal system: cubic. The calculation puts the total magnetization at 0.00 μB/f.u. The formation energy from raw total energies comes out at 604.4 meV/atom.

a = 5.4023 Å, b = 5.4023 Å, c = 5.4023 Å
α = 60.00°, β = 60.00°, γ = 60.00°
Last column: nearest neighbours and their distance in Å.
Positions (direct):
La 0.0000 0.0000 0.0000  12 Tc 3.17, 4 Cl 3.31
Tc 0.8722 0.3759 0.3759  6 Tc 2.68-2.72
Tc 0.3759 0.3759 0.8722  6 Tc 2.68-2.72
Tc 0.3759 0.8722 0.3759  6 Tc 2.68-2.72
Tc 0.3759 0.3759 0.3759  6 Tc 2.68-2.72
Cl 0.7500 0.7500 0.7500  12 Tc 3.17, 4 La 3.31

Density functional theory data (PBE) for an optimized crystal structure of LaTc2Cl.

Values from the calculation:
As for the distance to the lowest polymorph of the same formula: 323 meV/atom. As for the crystal system: orthorhombic. The calculation puts the total magnetization at 0.00 μB/f.u. The formation energy from raw total energies comes out at 122.6 meV/atom.

a = 5.3181 Å, b = 5.3181 Å, c = 5.3181 Å
α = 138.67°, β = 115.48°, γ = 79.56°
Last column: nearest neighbours and their distance in Å.
Positions (direct):
Cl 0.5425 0.5425 0.0000  2 Tc 2.58
La 0.2629 0.7629 0.5000  2 Cl 2.96, 4 Tc 3.17-3.27
Tc 0.9358 0.9358 0.0000  2 Tc 2.37
Tc 0.7588 0.2588 0.5000  2 Tc 2.37, 2 Cl 2.58

Density functional theory data (PBE) for an optimized crystal structure of LaTc2Cl.

Values from the calculation:
As for the distance to the lowest polymorph of the same formula: 318 meV/atom. As for the crystal system: monoclinic. The calculation puts the total magnetization at 0.00 μB/f.u. The formation energy from raw total energies comes out at 118.1 meV/atom.

a = 5.6086 Å, b = 3.3085 Å, c = 4.3660 Å
α = 90.52°, β = 90.00°, γ = 90.00°
Last column: nearest neighbours and their distance in Å.
Positions (direct):
Cl 0.5000 0.2500 0.2500  4 La 2.73-2.75
La 0.5000 0.7500 0.7500  4 Cl 2.73-2.75
Tc 0.0000 0.0698 0.9979  2 Tc 2.48-2.49
Tc 0.0000 0.4302 0.5021  2 Tc 2.48-2.49